No. 1
Computed, not measured: crystalline GdAgPbAu at its relaxed geometry at the PBE level of DFT. Values from VASP.

Results
Energy ... -6.41 eV/atom
N(E_F) ... 2.24 states/eV/cell

```
&SYSTEM
  ibrav = 0, nat = 4, ntyp = 4
/
ATOMIC_SPECIES
Pb 207.20 Pb.upf
Gd 157.25 Gd.upf
Au 196.97 Au.upf
Ag 107.87 Ag.upf
CELL_PARAMETERS angstrom
-1.869 4.238 -2.087
-5.004 0.876 0.076
-1.891 3.669 2.961
ATOMIC_POSITIONS crystal
Pb 0.000 0.000 0.000
Gd 0.500 0.500 0.500
Au 0.750 0.750 0.750
Ag 0.250 0.250 0.250
```

No. 2
Computed, not measured: crystalline PmGdAgAu at its relaxed geometry at the PBE level of DFT. Values from VASP.

Results
Energy ... -6.79 eV/atom
N(E_F) ... 4.04 states/eV/cell

```
&SYSTEM
  ibrav = 0, nat = 4, ntyp = 4
/
ATOMIC_SPECIES
Gd 157.25 Gd.upf
Au 196.97 Au.upf
Ag 107.87 Ag.upf
Pm 145.00 Pm.upf
CELL_PARAMETERS angstrom
5.204 0.000 0.000
2.602 4.507 0.000
2.602 1.502 4.249
ATOMIC_POSITIONS crystal
Gd 0.500 0.500 0.500
Au 0.750 0.750 0.750
Ag 0.250 0.250 0.250
Pm 0.000 0.000 0.000
```

No. 3
Computed, not measured: crystalline GdAgPtAu at its relaxed geometry at the PBE level of DFT. Values from VASP.

Results
Energy ... -7.19 eV/atom
N(E_F) ... 1.26 states/eV/cell

```
&SYSTEM
  ibrav = 0, nat = 4, ntyp = 4
/
ATOMIC_SPECIES
Gd 157.25 Gd.upf
Au 196.97 Au.upf
Ag 107.87 Ag.upf
Pt 195.08 Pt.upf
CELL_PARAMETERS angstrom
4.856 0.000 0.000
2.428 4.206 0.000
2.428 1.402 3.965
ATOMIC_POSITIONS crystal
Gd 0.000 0.000 0.000
Au 0.250 0.250 0.250
Ag 0.500 0.500 0.500
Pt 0.750 0.750 0.750
```

No. 4
Computed, not measured: crystalline GdAgRhAu at its relaxed geometry at the PBE level of DFT. Values from VASP.

Results
Energy ... -7.29 eV/atom
N(E_F) ... 2.79 states/eV/cell

```
&SYSTEM
  ibrav = 0, nat = 4, ntyp = 4
/
ATOMIC_SPECIES
Rh 102.91 Rh.upf
Gd 157.25 Gd.upf
Au 196.97 Au.upf
Ag 107.87 Ag.upf
CELL_PARAMETERS angstrom
-0.468 3.852 -2.828
-2.631 -0.270 -4.007
-4.213 2.287 -0.264
ATOMIC_POSITIONS crystal
Rh 0.000 0.000 0.000
Gd 0.750 0.750 0.750
Au 0.500 0.500 0.500
Ag 0.250 0.250 0.250
```

No. 5
Computed, not measured: crystalline GdAgSbAu at its relaxed geometry at the PBE level of DFT. Values from VASP.

Results
Energy ... -6.61 eV/atom
N(E_F) ... 1.20 states/eV/cell
Uncorrected formation energy ... -0.52 eV per atom

```
&SYSTEM
  ibrav = 0, nat = 4, ntyp = 4
/
ATOMIC_SPECIES
Sb 121.76 Sb.upf
Gd 157.25 Gd.upf
Au 196.97 Au.upf
Ag 107.87 Ag.upf
CELL_PARAMETERS angstrom
-0.797 -3.187 -3.856
3.017 0.141 -4.067
3.253 -3.784 -0.873
ATOMIC_POSITIONS crystal
Sb 0.750 0.750 0.750
Gd 0.500 0.500 0.500
Au 0.250 0.250 0.250
Ag 0.000 0.000 0.000
```

No. 6
Computed, not measured: crystalline SmGdAgAu at its relaxed geometry at the PBE level of DFT. Values from VASP.

Results
Energy ... -6.58 eV/atom
N(E_F) ... 1.96 states/eV/cell

```
&SYSTEM
  ibrav = 0, nat = 4, ntyp = 4
/
ATOMIC_SPECIES
Gd 157.25 Gd.upf
Au 196.97 Au.upf
Ag 107.87 Ag.upf
Sm 150.36 Sm.upf
CELL_PARAMETERS angstrom
-3.042 3.296 -2.237
-3.743 -1.620 -2.914
-4.750 0.467 1.531
ATOMIC_POSITIONS crystal
Gd 0.750 0.750 0.750
Au 0.500 0.500 0.500
Ag 0.250 0.250 0.250
Sm 0.000 0.000 0.000
```

No. 7
Computed, not measured: crystalline GdAgSnAu at its relaxed geometry at the PBE level of DFT. Values from VASP.

Results
Energy ... -6.59 eV/atom
N(E_F) ... 2.02 states/eV/cell

```
&SYSTEM
  ibrav = 0, nat = 4, ntyp = 4
/
ATOMIC_SPECIES
Gd 157.25 Gd.upf
Au 196.97 Au.upf
Sn 118.71 Sn.upf
Ag 107.87 Ag.upf
CELL_PARAMETERS angstrom
5.007 0.000 0.000
2.503 4.336 0.000
2.503 1.445 4.088
ATOMIC_POSITIONS crystal
Gd 0.750 0.750 0.750
Au 0.000 0.000 0.000
Sn 0.250 0.250 0.250
Ag 0.500 0.500 0.500
```

No. 8
Computed, not measured: crystalline SrGdAgAu at its relaxed geometry at the PBE level of DFT. Values from VASP.

Results
Energy ... -5.95 eV/atom
N(E_F) ... 4.49 states/eV/cell

```
&SYSTEM
  ibrav = 0, nat = 4, ntyp = 4
/
ATOMIC_SPECIES
Sr 87.62 Sr.upf
Gd 157.25 Gd.upf
Au 196.97 Au.upf
Ag 107.87 Ag.upf
CELL_PARAMETERS angstrom
-0.378 -2.929 -4.399
4.356 -1.199 -2.767
1.830 -4.972 -0.037
ATOMIC_POSITIONS crystal
Sr 0.000 0.000 0.000
Gd 0.500 0.500 0.500
Au 0.750 0.750 0.750
Ag 0.250 0.250 0.250
```

No. 9
Computed, not measured: crystalline TbGdAgAu at its relaxed geometry at the PBE level of DFT. Values from VASP.

Results
Energy ... -6.78 eV/atom
N(E_F) ... 3.04 states/eV/cell

```
&SYSTEM
  ibrav = 0, nat = 4, ntyp = 4
/
ATOMIC_SPECIES
Tb 158.93 Tb.upf
Gd 157.25 Gd.upf
Au 196.97 Au.upf
Ag 107.87 Ag.upf
CELL_PARAMETERS angstrom
5.148 0.000 0.000
2.574 4.458 0.000
2.574 1.486 4.203
ATOMIC_POSITIONS crystal
Tb 0.500 0.500 0.500
Gd 0.000 0.000 0.000
Au 0.250 0.250 0.250
Ag 0.750 0.750 0.750
```

No. 10
Computed, not measured: crystalline GdTlAgAu at its relaxed geometry at the PBE level of DFT. Values from VASP.

Results
Energy ... -6.04 eV/atom
N(E_F) ... 2.17 states/eV/cell

```
&SYSTEM
  ibrav = 0, nat = 4, ntyp = 4
/
ATOMIC_SPECIES
Tl 204.38 Tl.upf
Gd 157.25 Gd.upf
Au 196.97 Au.upf
Ag 107.87 Ag.upf
CELL_PARAMETERS angstrom
5.033 0.000 0.000
2.516 4.358 0.000
2.516 1.453 4.109
ATOMIC_POSITIONS crystal
Tl 0.500 0.500 0.500
Gd 0.000 0.000 0.000
Au 0.750 0.750 0.750
Ag 0.250 0.250 0.250
```

No. 11
Computed, not measured: crystalline GdZnAgAu at its relaxed geometry at the PBE level of DFT. Values from VASP.

Results
Energy ... -5.78 eV/atom
N(E_F) ... 3.17 states/eV/cell

```
&SYSTEM
  ibrav = 0, nat = 4, ntyp = 4
/
ATOMIC_SPECIES
Zn 65.41 Zn.upf
Gd 157.25 Gd.upf
Au 196.97 Au.upf
Ag 107.87 Ag.upf
CELL_PARAMETERS angstrom
4.876 0.000 0.000
2.438 4.223 0.000
2.438 1.408 3.981
ATOMIC_POSITIONS crystal
Zn 0.500 0.500 0.500
Gd 0.000 0.000 0.000
Au 0.750 0.750 0.750
Ag 0.250 0.250 0.250
```

No. 12
Computed, not measured: crystalline Ag5GeAu at its relaxed geometry at the PBE level of DFT. Values from VASP.

Results
Energy ... -3.02 eV/atom
N(E_F) ... 5.11 states/eV/cell

```
&SYSTEM
  ibrav = 0, nat = 14, ntyp = 3
/
ATOMIC_SPECIES
Ag 107.87 Ag.upf
Ge 72.64 Ge.upf
Au 196.97 Au.upf
CELL_PARAMETERS angstrom
-1.036 -7.529 -5.055
6.739 -6.081 0.957
1.518 -9.352 0.289
ATOMIC_POSITIONS crystal
Ag 0.734 0.773 0.123
Ag 0.238 0.741 0.433
Ag 0.773 0.734 0.623
Ag 0.763 0.237 0.250
Ag 0.259 0.762 0.067
Ag 0.741 0.238 0.933
Ag 0.237 0.763 0.750
Ag 0.227 0.266 0.377
Ag 0.762 0.259 0.567
Ag 0.266 0.227 0.877
Ge 0.000 0.000 0.000
Ge 0.000 0.000 0.500
Au 0.483 0.517 0.250
Au 0.517 0.483 0.750
```

No. 13
Computed, not measured: crystalline AgGe2Au at its relaxed geometry at the PBE level of DFT. Values from VASP.

Results
Energy ... -3.64 eV/atom
N(E_F) ... 1.22 states/eV/cell
Polymorph energy (0 for the lowest one) ... 58.4 meV/atom

```
&SYSTEM
  ibrav = 0, nat = 4, ntyp = 3
/
ATOMIC_SPECIES
Ge 72.64 Ge.upf
Au 196.97 Au.upf
Ag 107.87 Ag.upf
CELL_PARAMETERS angstrom
-0.103 2.796 0.974
-2.613 1.353 0.346
-1.373 -1.960 9.987
ATOMIC_POSITIONS crystal
Ge 0.089 0.089 0.733
Ge 0.911 0.911 0.267
Au 0.500 0.500 0.500
Ag 0.000 0.000 0.000
```

No. 14
Computed, not measured: crystalline AgGeAu at its relaxed geometry at the PBE level of DFT. Values from VASP.

Results
Energy ... -3.50 eV/atom
N(E_F) ... 2.01 states/eV/cell
Polymorph energy (0 for the lowest one) ... 28.3 meV/atom

```
&SYSTEM
  ibrav = 0, nat = 3, ntyp = 3
/
ATOMIC_SPECIES
Ge 72.64 Ge.upf
Au 196.97 Au.upf
Ag 107.87 Ag.upf
CELL_PARAMETERS angstrom
2.919 0.000 0.000
0.000 4.668 0.000
0.000 -2.334 4.043
ATOMIC_POSITIONS crystal
Ge 0.167 0.333 0.667
Au 0.167 0.000 0.000
Ag 0.667 0.667 0.333
```

No. 15
Computed, not measured: crystalline Ag2Ge2Au at its relaxed geometry at the PBE level of DFT. Values from VASP.

Results
Energy ... -3.42 eV/atom
N(E_F) ... 1.56 states/eV/cell
Polymorph energy (0 for the lowest one) ... 105.0 meV/atom

```
&SYSTEM
  ibrav = 0, nat = 5, ntyp = 3
/
ATOMIC_SPECIES
Ge 72.64 Ge.upf
Au 196.97 Au.upf
Ag 107.87 Ag.upf
CELL_PARAMETERS angstrom
3.692 0.000 0.000
0.000 3.692 0.000
1.846 1.846 7.114
ATOMIC_POSITIONS crystal
Ge 0.750 0.250 0.500
Ge 0.250 0.750 0.500
Au 0.000 0.000 0.000
Ag 0.404 0.404 0.193
Ag 0.596 0.596 0.807
```